No. 1
The following is a DFT calculation (PBE-GGA) of La2NiHg after structural relaxation.

Output
Energy ... -4.31 eV per atom

a b c (Å): 4.178 4.178 8.147
angles (deg): 75.14 75.14 60.00
Sites, in units of the cell vectors:
La  0.267  0.267  0.198
Ni  0.666  0.666  0.003
La  0.067  0.067  0.799
Hg  0.500  0.500  0.500

No. 2
The following is a DFT calculation (PBE-GGA) of LaNiHg2 after structural relaxation.

Output
Energy ... -3.05 eV per atom

a b c (Å): 4.487 4.865 4.858
angles (deg): 66.02 90.00 90.00
Sites, in units of the cell vectors:
La  0.500  0.250  0.250
Ni  0.500  0.750  0.750
Hg  0.000  0.929  0.929
Hg  0.000  0.571  0.571

No. 3
The following is a DFT calculation (PBE-GGA) of La2NiHg3 after structural relaxation.

Output
Energy ... -3.17 eV per atom

a b c (Å): 3.716 4.893 8.445
angles (deg): 90.00 90.00 90.00
Sites, in units of the cell vectors:
La  0.000  0.000  0.485
Hg  0.500  0.500  0.643
Hg  0.500  0.000  0.180
Hg  0.500  0.000  0.834
La  0.000  0.500  0.041
Ni  0.500  0.500  0.318

Question: Which formula does entry 2 have?
Answer: LaNiHg2